No. 1
LaErSnPb PBE optimized geometry; total magnetization = 0.005 μB/f.u.; ρ = 8890 kg/m³; DFT formation energy = -1.997 eV/f.u.
1.0
5.506 0.000 0.000
2.753 4.769 0.000
2.753 1.590 4.496
Pb La Sn Er
1 1 1 1
Direct
0.250 0.250 0.250
0.500 0.500 0.500
0.750 0.750 0.750
0.000 0.000 0.000

No. 2
LaErPd PBE optimized geometry; total magnetization = 0.000 μB/f.u.; ρ = 8378 kg/m³; DFT formation energy = -1.585 eV/f.u.
1.0
3.598 0.000 0.000
0.000 3.598 0.000
-1.799 -1.799 6.318
Er Pd La
1 1 1
Direct
0.296 0.296 0.592
0.681 0.681 0.363
0.023 0.023 0.045

No. 3
La2Er3Pd2 PBE optimized geometry; total magnetization = 0.000 μB/f.u.; ρ = 8520 kg/m³; DFT formation energy = -3.726 eV/f.u.
1.0
-0.450 3.456 -1.348
2.892 -3.517 -4.803
-9.145 -0.868 0.831
La Er Pd
2 3 2
Direct
0.843 0.685 0.184
0.157 0.315 0.816
0.500 0.000 0.000
0.616 0.232 0.440
0.384 0.768 0.560
0.837 0.673 0.758
0.163 0.327 0.242

No. 4
La3ErPd2 PBE optimized geometry; total magnetization = 0.001 μB/f.u.; ρ = 7866 kg/m³; DFT formation energy = -2.789 eV/f.u.
1.0
3.829 0.000 -1.106
-0.417 5.102 -1.439
0.416 -0.333 8.593
La Er Pd
3 1 2
Direct
0.500 0.500 0.000
0.815 0.315 0.629
0.185 0.685 0.371
0.000 0.000 0.000
0.366 0.863 0.730
0.634 0.137 0.270